Here is an optimized crystal structure of Ba2NaTlCu from Alexandria. Energies are from PBE.

## Properties
Magnetic moment ... 0.0 μB per cell
Total energy ... -0.174 Ry/atom
D(E_F) ... 6.92 states/eV/cell
Space-group type ... No. 123
E_form ... -0.04 eV/atom
Energy relative to the lowest polymorph listed for this composition ... 0 meV per atom

POSCAR file:
```
Ba2NaTlCu
1.0
-2.079 0.145 -6.022
3.861 -4.858 -1.450
-3.679 -3.280 1.191
Na Tl Ba Cu
1 1 2 1
Direct
0.500 0.500 0.500 Na
0.000 0.000 0.500 Tl
0.000 0.500 0.000 Ba
0.500 0.000 0.000 Ba
0.000 0.000 0.000 Cu
```